1.
{"formula": "Ir2PtBr", "functional": "PBE", "state": "optimized geometry", "lattice_angstrom": [[5.968, 0.000, 0.000], [0.000, 7.543, 0.000], [0.000, 0.000, 2.855]], "species": ["Ir", "Ir", "Ir", "Ir", "Pt", "Pt", "Br", "Br"], "fractional_positions": [[0.250, 0.250, 0.000], [0.250, 0.750, 0.000], [0.750, 0.250, 0.000], [0.750, 0.750, 0.000], [0.000, 0.000, 0.500], [0.500, 0.500, 0.500], [0.000, 0.500, 0.500], [0.500, 0.000, 0.500]], "e_form_raw_ev_per_atom": 0.9095, "de_polymorph_mev_per_atom": 407, "e_tot_ev_per_atom": -5.45}



2.
{"formula": "PaBiRuO6", "functional": "PBE", "state": "optimized geometry", "lattice_angstrom": [[5.063, 0.000, 0.000], [0.000, 5.063, 0.000], [0.000, 0.000, 10.173]], "species": ["Pa", "Pa", "Bi", "Bi", "Ru", "Ru", "O", "O", "O", "O", "O", "O", "O", "O", "O", "O", "O", "O"], "fractional_positions": [[0.000, 0.000, 0.000], [0.500, 0.500, 0.500], [0.000, 0.000, 0.667], [0.500, 0.500, 0.167], [0.000, 0.000, 0.334], [0.500, 0.500, 0.834], [0.177, 0.177, 0.176], [0.194, 0.194, 0.480], [0.217, 0.217, 0.847], [0.283, 0.717, 0.347], [0.306, 0.694, 0.980], [0.323, 0.677, 0.676], [0.677, 0.323, 0.676], [0.694, 0.306, 0.980], [0.717, 0.283, 0.347], [0.783, 0.783, 0.847], [0.806, 0.806, 0.480], [0.823, 0.823, 0.176]], "e_form_raw_ev_per_atom": -1.9464, "e_tot_ev_per_atom": -7.77}